First-principles (GGA-PBEsol) data for a relaxed structure of OsRh3, as listed in Alexandria via LeMat-Bulk.

Summary:
- E (eV per atom) = -9.112
- ΔE_f (eV/atom) = 0.05

Unit cell a=3.7765 b=3.7765 c=7.5983 alpha=90.00 beta=90.00 gamma=90.00
Space group I4/mmm (No. 139)
Symmetry-distinct sites (fractional):
Os: 0.0000 0.0000 0.0000
Rh: 0.0000 0.0000 0.5000
Rh: 0.0000 0.5000 0.2500